DFT (PBE) results for a relaxed structure of SnRu2Cl.

a b c (Å): 6.420 6.420 6.420
angles (deg): 90.00 90.00 90.00
Space group Fm-3m (No. 225)
Symmetry-distinct sites (fractional):
Sn (0.000, 0.000, 0.000) x4
Ru (0.250, 0.250, 0.250) x8
Cl (0.000, 0.000, 0.500) x4

Results
- total magnetization (μB/f.u.) = 0.00
- uncorrected formation energy (eV per atom) = 0.6116
- relative energy among the computed polymorphs (meV/atom) = 91
- total energy (eV per cell) = -87.82

***

DFT (PBE) results for a relaxed structure of LaOsPb2.

a b c (Å): 8.441 4.874 5.923
angles (deg): 90.00 118.28 90.00
Space group Cm (No. 8)
Symmetry-distinct sites (fractional):
La (0.000, 0.000, 0.000) x2
Os (0.320, 0.500, 0.460) x2
Pb (0.218, 0.000, 0.653) x2
Pb (0.445, 0.000, 0.334) x2

Results
- total magnetization (μB/f.u.) = 0.00
- relative energy among the computed polymorphs (meV/atom) = 0
- energy of formation (meV per atom) = 73
- total energy (eV per cell) = -46.56

***

Computed ρ, in the same sequence as the records: 8.94; 11.51 g cm⁻³.